[1]
4
Lattice="-0.457 -3.475 -2.040 -2.334 -2.592 4.937 -4.372 4.835 -3.226" Properties=species:S:1:pos:R:3 comment="Sr2CaTl | the Alexandria database | meta-GGA SCAN | PBEsol geometry" delta_e_f_mev_per_atom=-310 magnetic_moment_mub_per_atom=0.2018 final_energy_ev_per_atom=-31.953 pbc="T T T"
Sr -0.029 0.009 -0.009
Sr -3.544 -0.553 1.736
Tl -5.692 1.778 -1.755
Ca -3.666 -0.663 -2.080

=====

[2]
4
Lattice="-2.596 2.260 2.127 -2.345 0.540 -3.436 -1.802 -5.968 0.293" Properties=species:S:1:pos:R:3 comment="YZnTe2 | the Alexandria database | meta-GGA SCAN | PBEsol geometry" e_form_raw_ev_per_atom=-1.0120 magnetic_moment_mub_per_atom=0.0000 final_energy_ev_per_atom=-29.977 pbc="T T T"
Y -1.579 0.692 1.186
Zn -3.972 -0.942 0.002
Te -5.370 -3.124 0.614
Te -1.520 -2.372 0.665

=====

[3]
4
Lattice="3.204 0.000 0.000 0.000 4.740 0.000 0.000 0.000 4.740" Properties=species:S:1:pos:R:3 comment="FePBr2 | the Alexandria database | meta-GGA SCAN | PBEsol geometry" e_form_raw_ev_per_atom=0.8395 magnetic_moment_mub_per_atom=0.8684 final_energy_ev_per_atom=-16.022 pbc="T T T"
Br 0.000 0.000 2.370
Br 0.000 2.370 0.000
Fe 1.602 2.370 2.370
P 1.602 0.000 0.000

=====

[4]
5
Lattice="-3.117 0.931 -2.782 -2.442 -3.249 1.649 -1.753 2.788 2.897" Properties=species:S:1:pos:R:3 comment="FeCu2TcBr | the Alexandria database | meta-GGA SCAN | PBEsol geometry" e_form_raw_ev_per_atom=1.6019 magnetic_moment_mub_per_atom=1.1024 final_energy_ev_per_atom=-19.008 pbc="T T T"
Cu -0.876 1.394 1.448
Cu -1.221 -1.624 0.825
Tc -3.656 0.235 0.882
Br 0.000 0.000 0.000
Fe -1.559 0.465 -1.391

=====

[5]
3
Lattice="-1.717 -3.897 0.753 2.103 -3.567 -1.247 1.774 -2.609 2.957" Properties=species:S:1:pos:R:3 comment="MnCdSi | the Alexandria database | meta-GGA SCAN | PBEsol geometry" e_form_raw_ev_per_atom=0.3703 magnetic_moment_mub_per_atom=1.5396 final_energy_ev_per_atom=-19.191 pbc="T T T"
Cd 1.620 -7.555 1.848
Mn 0.000 0.000 0.000
Si 1.080 -5.036 1.232

=====

[6]
5
Lattice="5.896 0.000 0.000 0.000 5.896 0.000 0.000 0.000 5.896" Properties=species:S:1:pos:R:3 comment="NaSrLa3 | the Alexandria database | meta-GGA SCAN | PBEsol geometry" delta_e_f_mev_per_atom=576 magnetic_moment_mub_per_atom=0.0303 final_energy_ev_per_atom=-30.585 pbc="T T T"
Sr 2.948 2.948 2.948
Na 0.000 0.000 0.000
La 0.000 2.948 0.000
La 0.000 0.000 2.948
La 2.948 0.000 0.000

=====

[7]
5
Lattice="-1.931 -0.496 -2.584 2.888 -1.509 0.192 -4.301 -7.636 4.681" Properties=species:S:1:pos:R:3 comment="Ti2Te2C | the Alexandria database | meta-GGA SCAN | PBEsol geometry" e_form_raw_ev_per_atom=-0.7405 magnetic_moment_mub_per_atom=0.0001 final_energy_ev_per_atom=-24.073 pbc="T T T"
C 0.000 0.000 0.000
Te -1.642 -6.361 2.448
Te -1.703 -3.280 -0.158
Ti -4.157 -7.637 2.513
Ti 0.812 -2.004 -0.223

=====

[8]
5
Lattice="5.599 0.000 0.000 0.000 5.786 0.000 0.000 0.000 5.786" Properties=species:S:1:pos:R:3 comment="CsZrTeI2 | the Alexandria database | meta-GGA SCAN | PBEsol geometry" e_form_raw_ev_per_atom=-1.0597 magnetic_moment_mub_per_atom=0.0000 final_energy_ev_per_atom=-36.908 pbc="T T T"
Cs 2.799 2.893 2.893
I 0.000 0.000 2.893
I 0.000 2.893 0.000
Te 2.799 0.000 0.000
Zr 0.000 0.000 0.000

=====

[9]
5
Lattice="-2.836 0.590 2.499 -1.186 -3.603 -0.496 2.277 -1.143 2.854" Properties=species:S:1:pos:R:3 comment="InCo3B | the Alexandria database | meta-GGA SCAN | PBEsol geometry" delta_e_f_mev_per_atom=43 magnetic_moment_mub_per_atom=0.4287 final_energy_ev_per_atom=-18.503 pbc="T T T"
B 0.000 0.000 0.000
Co -0.593 -1.801 -0.248
Co 1.138 -0.571 1.427
Co -1.418 0.295 1.249
In -0.873 -2.078 2.428

=====

[10]
4
Lattice="2.723 0.000 0.000 0.000 2.723 0.000 0.000 0.000 8.719" Properties=species:S:1:pos:R:3 comment="Zn2ReSe | the Alexandria database | meta-GGA SCAN | PBEsol geometry" e_form_raw_ev_per_atom=0.4105 magnetic_moment_mub_per_atom=0.0017 final_energy_ev_per_atom=-29.141 pbc="T T T"
Re 1.362 1.362 0.000
Se 1.362 1.362 4.360
Zn 0.000 0.000 6.837
Zn 0.000 0.000 1.882

=====

[11]
4
Lattice="3.245 0.000 0.000 0.000 4.668 0.000 0.000 0.000 4.668" Properties=species:S:1:pos:R:3 comment="Mo2PbBr | the Alexandria database | meta-GGA SCAN | PBEsol geometry" e_form_raw_ev_per_atom=1.0841 magnetic_moment_mub_per_atom=0.6697 final_energy_ev_per_atom=-40.169 pbc="T T T"
Pb 1.623 2.334 2.334
Mo 0.000 0.000 2.334
Mo 0.000 2.334 0.000
Br 1.623 0.000 0.000

=====

[12]
62
Lattice="-2.721 0.560 7.925 0.280 -9.046 4.844 7.337 3.301 6.383" Properties=species:S:1:pos:R:3 comment="BaTi10O20 | the Alexandria database | meta-GGA SCAN | PBEsol geometry" e_form_raw_ev_per_atom=-3.3227 magnetic_moment_mub_per_atom=0.0694 final_energy_ev_per_atom=-13.790 pbc="T T T"
Ba 2.655 -3.487 15.835
Ba 2.241 -1.698 3.317
Ti -1.237 -4.614 10.067
Ti 0.309 -5.614 12.372
Ti 1.842 -6.891 14.547
Ti 3.062 1.099 11.996
Ti 4.604 -0.075 14.243
Ti 0.292 -5.109 4.909
Ti 1.834 -6.284 7.156
Ti 3.054 1.706 4.605
Ti 4.587 0.429 6.780
Ti 6.133 -0.571 9.084
Ti 0.829 -2.910 7.612
Ti 2.211 -4.040 9.947
Ti 3.850 -5.198 12.122
Ti 5.090 2.700 9.529
Ti -0.822 -1.741 5.473
Ti 5.717 -3.443 13.679
Ti -0.195 -7.885 9.623
Ti 1.046 0.014 7.030
Ti 2.685 -1.145 9.205
Ti 4.067 -2.274 11.540
O 1.331 -6.689 5.336
O 2.557 1.131 2.745
O 4.034 0.004 4.938
O 5.601 -1.180 7.253
O 7.105 -2.300 9.449
O -2.209 -2.885 9.703
O -0.706 -4.004 11.899
O 0.862 -5.188 14.213
O 2.339 -6.315 16.406
O 3.565 1.504 13.816
O 3.798 -3.414 13.100
O 5.313 -4.546 15.312
O -0.763 0.026 6.333
O 0.771 -1.125 8.594
O 2.227 -2.244 10.822
O 2.669 -2.941 8.330
O 4.125 -4.059 10.558
O 5.659 -5.210 12.819
O -0.417 -0.638 3.839
O 1.098 -1.770 6.052
O -1.093 -2.724 7.119
O 4.689 1.756 11.222
O 3.461 -6.113 13.862
O 1.952 -4.977 11.622
O 0.382 -3.797 9.347
O 4.514 -1.388 9.805
O 2.944 -0.207 7.530
O 1.434 0.929 5.290
O 0.207 -6.940 7.930
O 5.989 -2.461 12.033
O -0.451 -3.340 4.409
O 5.250 1.070 8.534
O 3.773 2.193 6.340
O 2.552 -5.642 8.896
O 0.998 -4.546 6.675
O 3.898 -0.638 12.477
O 2.343 0.457 10.256
O 1.123 -7.378 12.812
O -0.354 -6.254 10.618
O 5.347 -1.844 14.743